# PBE Ac3Cu5Cl12, relaxed
# Uncorrected formation energy in kJ per mole of atoms: -120.9
# V in Å³ per atom: 24.0
data_Ac3Cu5Cl12
_chemical_formula_sum 'Ac24 Cu40 Cl96'
_space_group_name_H-M_alt 'I a -3 d'
_space_group_IT_number 230
_space_group_name_Hall '-I 4bd 2c 3'
_cell_length_a 15.664
_cell_length_b 15.664
_cell_length_c 15.664
_cell_angle_alpha 90.00
_cell_angle_beta 90.00
_cell_angle_gamma 90.00
loop_
_atom_site_label
_atom_site_fract_x
_atom_site_fract_y
_atom_site_fract_z
_atom_site_occupancy
Ac1 0.000 0.250 0.125 1
Cu1 0.000 0.000 0.000 1
Cu2 0.000 0.250 0.375 1
Cl1 0.033 0.058 0.650 1